[1]
A plane-wave DFT calculation with PBE was carried out for crystalline LiZn2Ni at its relaxed geometry.

energy above the lowest structure with this stoichiometry = 0.043 eV/atom
SG = P4/mmm
total energy = -2.71 eV per atom

Unit cell a=2.818 b=2.818 c=6.577 alpha=90.00 beta=90.00 gamma=90.00
Sites, in units of the cell vectors:
Zn 0.500 0.500 0.729
Li 0.000 0.000 0.000
Ni 0.000 0.000 0.500
Zn 0.500 0.500 0.271

---

[2]
A plane-wave DFT calculation with PBE was carried out for crystalline LiZn2Ni at its relaxed geometry.

energy above the lowest structure with this stoichiometry = 0.000 eV/atom
SG = Fm-3m
total energy = -2.76 eV per atom

Unit cell a=4.137 b=5.848 c=12.419 alpha=90.00 beta=90.00 gamma=90.00
Sites, in units of the cell vectors:
Zn 0.500 0.250 0.667
Zn 0.000 0.750 0.167
Ni 0.500 0.000 0.833
Zn 0.000 0.750 0.500
Li 0.000 0.000 0.333
Zn 0.500 0.250 0.000
Zn 0.500 0.750 0.000
Zn 0.500 0.750 0.333
Zn 0.000 0.250 0.500
Zn 0.000 0.750 0.833
Li 0.500 0.500 0.167
Li 0.500 0.500 0.833
Ni 0.000 0.500 0.000
Li 0.000 0.000 0.667
Li 0.500 0.500 0.500
Zn 0.500 0.250 0.333
Zn 0.000 0.250 0.833
Ni 0.000 0.500 0.667
Ni 0.500 0.000 0.500
Ni 0.500 0.000 0.167
Ni 0.000 0.500 0.333
Li 0.000 0.000 0.000
Zn 0.000 0.250 0.167
Zn 0.500 0.750 0.667

---

[3]
A plane-wave DFT calculation with PBE was carried out for crystalline LiZn2Ni at its relaxed geometry.

energy above the lowest structure with this stoichiometry = 0.032 eV/atom
SG = Cmmm
total energy = -2.72 eV per atom

Unit cell a=5.911 b=5.849 c=5.775 alpha=90.00 beta=90.00 gamma=90.00
Sites, in units of the cell vectors:
Zn 0.000 0.000 0.250
Ni 0.250 0.750 0.000
Ni 0.750 0.250 0.500
Li 0.250 0.250 0.000
Zn 0.500 0.000 0.750
Li 0.250 0.250 0.500
Zn 0.500 0.500 0.250
Zn 0.000 0.000 0.750
Zn 0.000 0.500 0.250
Zn 0.000 0.500 0.750
Ni 0.750 0.250 0.000
Li 0.750 0.750 0.000
Zn 0.500 0.000 0.250
Zn 0.500 0.500 0.750
Ni 0.250 0.750 0.500
Li 0.750 0.750 0.500

---

[4]
A plane-wave DFT calculation with PBE was carried out for crystalline LiZn2Ni at its relaxed geometry.

energy above the lowest structure with this stoichiometry = 0.149 eV/atom
SG = P6_3/mmc
total energy = -2.61 eV per atom

Unit cell a=4.155 b=4.155 c=7.256 alpha=90.00 beta=90.00 gamma=120.00
Sites, in units of the cell vectors:
Zn 0.333 0.667 0.913
Li 0.000 0.000 0.000
Zn 0.333 0.667 0.587
Zn 0.667 0.333 0.087
Zn 0.667 0.333 0.413
Li 0.000 0.000 0.500
Ni 0.667 0.333 0.750
Ni 0.333 0.667 0.250

---

[5]
A plane-wave DFT calculation with PBE was carried out for crystalline LiZn2Ni at its relaxed geometry.

energy above the lowest structure with this stoichiometry = 0.005 eV/atom
SG = Fm-3m
total energy = -2.75 eV per atom

Unit cell a=4.108 b=4.108 c=4.108 alpha=60.00 beta=60.00 gamma=60.00
Sites, in units of the cell vectors:
Li 0.250 0.250 0.250
Ni 0.750 0.750 0.750
Zn 0.500 0.500 0.500
Zn 0.000 0.000 0.000

---

[6]
A plane-wave DFT calculation with PBE was carried out for crystalline LiZrZnNi at its relaxed geometry.

SG = F-43m
total energy = -4.55 eV per atom

Unit cell a=4.340 b=4.340 c=4.340 alpha=60.00 beta=60.00 gamma=60.00
Sites, in units of the cell vectors:
Li 0.250 0.250 0.250
Ni 0.750 0.750 0.750
Zr 0.500 0.500 0.500
Zn 0.000 0.000 0.000

---

[7]
A plane-wave DFT calculation with PBE was carried out for crystalline LiZr4Ni at its relaxed geometry.

SG = Cmmm
total energy = -6.34 eV per atom

Unit cell a=5.429 b=5.429 c=4.420 alpha=90.00 beta=90.00 gamma=90.20
Last column: magnetic moment on the atom in μB.
Sites, in units of the cell vectors:
Zr 0.687 0.313 0.500  0.12
Ni 0.000 0.000 0.500  0.06
Zr 0.182 0.182 0.000  0.03
Zr 0.313 0.687 0.500  0.12
Li 0.500 0.500 0.000  0.01
Zr 0.818 0.818 0.000  0.03

---

[8]
A plane-wave DFT calculation with PBE was carried out for crystalline Li2ZrNi at its relaxed geometry.

energy above the lowest structure with this stoichiometry = 0.002 eV/atom
SG = F-43m
total energy = -4.43 eV per atom

Unit cell a=4.382 b=4.382 c=4.382 alpha=60.00 beta=60.00 gamma=60.00
Sites, in units of the cell vectors:
Ni 0.250 0.250 0.250
Li 0.750 0.750 0.750
Li 0.000 0.000 0.000
Zr 0.500 0.500 0.500

---

[9]
A plane-wave DFT calculation with PBE was carried out for crystalline Li2ZrNi at its relaxed geometry.

energy above the lowest structure with this stoichiometry = 0.000 eV/atom
SG = F-43m
total energy = -4.43 eV per atom

Unit cell a=4.401 b=4.401 c=4.401 alpha=60.00 beta=60.00 gamma=60.00
Sites, in units of the cell vectors:
Li 0.750 0.750 0.750
Li 0.000 0.000 0.000
Ni 0.500 0.500 0.500
Zr 0.250 0.250 0.250

---

[10]
A plane-wave DFT calculation with PBE was carried out for crystalline LiNpPa at its relaxed geometry.

SG = F-43m
total energy = -7.14 eV per atom

Unit cell a=4.489 b=4.489 c=4.489 alpha=60.00 beta=60.00 gamma=60.00
Sites, in units of the cell vectors:
Li 0.250 0.250 0.250
Np 0.750 0.750 0.750
Pa 0.000 0.000 0.000

---

[11]
A plane-wave DFT calculation with PBE was carried out for crystalline LiPmNp at its relaxed geometry.

energy above the lowest structure with this stoichiometry = 0.000 eV/atom
SG = F-43m
total energy = -5.50 eV per atom

Unit cell a=4.943 b=4.943 c=4.943 alpha=60.00 beta=60.00 gamma=60.00
Last column: magnetic moment on the atom in μB.
Sites, in units of the cell vectors:
Li 0.000 0.000 0.000  0.07
Np 0.250 0.250 0.250  4.48
Pm 0.750 0.750 0.750  0.49

---

[12]
A plane-wave DFT calculation with PBE was carried out for crystalline LiNpPt at its relaxed geometry.

energy above the lowest structure with this stoichiometry = 0.000 eV/atom
SG = F-43m
total energy = -7.05 eV per atom

Unit cell a=4.569 b=4.569 c=4.569 alpha=60.00 beta=60.00 gamma=60.00
Sites, in units of the cell vectors:
Pt 0.000 0.000 0.000
Li 0.250 0.250 0.250
Np 0.750 0.750 0.750

---

[13]
A plane-wave DFT calculation with PBE was carried out for crystalline LiPuNp at its relaxed geometry.

energy above the lowest structure with this stoichiometry = 0.000 eV/atom
SG = F-43m
total energy = -8.99 eV per atom

Unit cell a=4.073 b=4.073 c=4.073 alpha=60.00 beta=60.00 gamma=60.00
Last column: magnetic moment on the atom in μB.
Sites, in units of the cell vectors:
Pu 0.750 0.750 0.750  1.40
Np 0.500 0.500 0.500  -0.09
Li 0.000 0.000 0.000  0.01

---

[14]
A plane-wave DFT calculation with PBE was carried out for crystalline RbLiNpS3 at its relaxed geometry.

SG = Cmcm
total energy = -6.06 eV per atom

Unit cell a=7.438 b=7.438 c=10.424 alpha=90.00 beta=90.00 gamma=148.22
Last column: magnetic moment on the atom in μB.
Sites, in units of the cell vectors:
S 0.618 0.382 0.048  -0.10
Li 0.539 0.461 0.250  0.00
S 0.049 0.951 0.750  -0.09
S 0.951 0.049 0.250  -0.09
Rb 0.737 0.263 0.750  0.00
S 0.618 0.382 0.452  -0.10
S 0.382 0.618 0.952  -0.10
S 0.382 0.618 0.548  -0.10
Np 0.000 0.000 0.000  3.27
Np 0.000 0.000 0.500  3.27
Rb 0.263 0.737 0.250  0.00
Li 0.461 0.539 0.750  0.00

---

[15]
A plane-wave DFT calculation with PBE was carried out for crystalline LiNp2S6 at its relaxed geometry.

SG = Immm
total energy = -6.88 eV per atom

Unit cell a=9.918 b=9.918 c=9.918 alpha=157.82 beta=150.35 gamma=37.34
Last column: magnetic moment on the atom in μB.
Sites, in units of the cell vectors:
S 0.852 0.593 0.259  -0.08
Li 0.000 0.000 0.000  0.00
S 0.334 0.593 0.741  -0.08
Np 0.673 0.173 0.500  3.19
Np 0.327 0.827 0.500  3.19
S 0.224 0.224 0.000  -0.14
S 0.666 0.407 0.259  -0.08
S 0.148 0.407 0.741  -0.08
S 0.776 0.776 0.000  -0.14

---

[16]
A plane-wave DFT calculation with PBE was carried out for crystalline LiNpTlS3 at its relaxed geometry.

SG = Cmcm
total energy = -6.02 eV per atom

Unit cell a=7.099 b=7.099 c=10.493 alpha=90.00 beta=90.00 gamma=146.80
Last column: magnetic moment on the atom in μB.
Sites, in units of the cell vectors:
S 0.123 0.877 0.549  -0.10
S 0.877 0.123 0.049  -0.10
Np 0.500 0.500 0.000  3.27
S 0.123 0.877 0.951  -0.10
S 0.446 0.554 0.750  -0.08
Np 0.500 0.500 0.500  3.28
Li 0.959 0.041 0.250  0.00
S 0.554 0.446 0.250  -0.08
S 0.877 0.123 0.451  -0.10
Tl 0.765 0.235 0.750  -0.01
Li 0.041 0.959 0.750  0.00
Tl 0.235 0.765 0.250  -0.01

---

[17]
A plane-wave DFT calculation with PBE was carried out for crystalline LiNpSc at its relaxed geometry.

energy above the lowest structure with this stoichiometry = 0.000 eV/atom
SG = F-43m
total energy = -5.98 eV per atom

Unit cell a=4.756 b=4.756 c=4.756 alpha=60.00 beta=60.00 gamma=60.00
Last column: magnetic moment on the atom in μB.
Sites, in units of the cell vectors:
Np 0.250 0.250 0.250  4.52
Sc 0.750 0.750 0.750  0.66
Li 0.000 0.000 0.000  0.11

---

[18]
A plane-wave DFT calculation with PBE was carried out for crystalline Li2NpSe3 at its relaxed geometry.

SG = Cmcm
total energy = -5.62 eV per atom

Unit cell a=6.620 b=6.620 c=10.788 alpha=90.00 beta=90.00 gamma=144.10
Last column: magnetic moment on the atom in μB.
Sites, in units of the cell vectors:
Np 0.500 0.500 0.000  3.37
Se 0.140 0.860 0.568  -0.12
Se 0.140 0.860 0.932  -0.12
Np 0.500 0.500 0.500  3.37
Se 0.860 0.140 0.068  -0.12
Li 0.762 0.238 0.750  0.00
Se 0.860 0.140 0.432  -0.12
Se 0.588 0.412 0.250  -0.08
Se 0.412 0.588 0.750  -0.08
Li 0.976 0.024 0.250  0.00
Li 0.024 0.976 0.750  0.00
Li 0.238 0.762 0.250  0.00

---

[19]
A plane-wave DFT calculation with PBE was carried out for crystalline LiNpSi at its relaxed geometry.

SG = F-43m
total energy = -6.06 eV per atom

Unit cell a=4.579 b=4.579 c=4.579 alpha=60.00 beta=60.00 gamma=60.00
Last column: magnetic moment on the atom in μB.
Sites, in units of the cell vectors:
Np 0.000 0.000 0.000  3.83
Si 0.750 0.750 0.750  -0.10
Li 0.250 0.250 0.250  0.13

---

[20]
A plane-wave DFT calculation with PBE was carried out for crystalline LiNpSi at its relaxed geometry.

SG = F-43m
total energy = -6.51 eV per atom

Unit cell a=4.576 b=4.576 c=4.576 alpha=60.00 beta=60.00 gamma=60.00
Sites, in units of the cell vectors:
Np 0.750 0.750 0.750
Si 0.000 0.000 0.000
Li 0.250 0.250 0.250

---

[21]
A plane-wave DFT calculation with PBE was carried out for crystalline LiNpSn at its relaxed geometry.

SG = F-43m
total energy = -6.02 eV per atom

Unit cell a=4.662 b=4.662 c=4.662 alpha=60.00 beta=60.00 gamma=60.00
Last column: magnetic moment on the atom in μB.
Sites, in units of the cell vectors:
Np 0.250 0.250 0.250  3.93
Sn 0.750 0.750 0.750  -0.13
Li 0.000 0.000 0.000  0.01

---

[22]
A plane-wave DFT calculation with PBE was carried out for crystalline SrLiNp at its relaxed geometry.

SG = F-43m
total energy = -4.35 eV per atom

Unit cell a=5.283 b=5.283 c=5.283 alpha=60.00 beta=60.00 gamma=60.00
Last column: magnetic moment on the atom in μB.
Sites, in units of the cell vectors:
Li 0.000 0.000 0.000  0.06
Sr 0.750 0.750 0.750  0.11
Np 0.250 0.250 0.250  4.56

---

[23]
A plane-wave DFT calculation with PBE was carried out for crystalline LiNpTa at its relaxed geometry.

SG = F-43m
total energy = -7.57 eV per atom

Unit cell a=4.363 b=4.363 c=4.363 alpha=60.00 beta=60.00 gamma=60.00
Sites, in units of the cell vectors:
Np 0.250 0.250 0.250
Ta 0.750 0.750 0.750
Li 0.000 0.000 0.000

---

[24]
A plane-wave DFT calculation with PBE was carried out for crystalline LiTbNp at its relaxed geometry.

energy above the lowest structure with this stoichiometry = 0.000 eV/atom
SG = F-43m
total energy = -5.44 eV per atom

Unit cell a=4.954 b=4.954 c=4.954 alpha=60.00 beta=60.00 gamma=60.00
Last column: magnetic moment on the atom in μB.
Sites, in units of the cell vectors:
Li 0.000 0.000 0.000  0.07
Tb 0.750 0.750 0.750  0.62
Np 0.250 0.250 0.250  4.47

---

[25]
A plane-wave DFT calculation with PBE was carried out for crystalline LiNpTe at its relaxed geometry.

energy above the lowest structure with this stoichiometry = 0.000 eV/atom
SG = F-43m
total energy = -6.03 eV per atom

Unit cell a=4.841 b=4.841 c=4.841 alpha=60.00 beta=60.00 gamma=60.00
Last column: magnetic moment on the atom in μB.
Sites, in units of the cell vectors:
Li 0.500 0.500 0.500  0.07
Np 0.000 0.000 0.000  4.51
Te 0.250 0.250 0.250  -0.01

---

[26]
A plane-wave DFT calculation with PBE was carried out for crystalline Li2NpTe3 at its relaxed geometry.

SG = Cmcm
total energy = -5.08 eV per atom

Unit cell a=7.196 b=7.196 c=11.297 alpha=90.00 beta=90.00 gamma=144.85
Last column: magnetic moment on the atom in μB.
Sites, in units of the cell vectors:
Np 0.500 0.500 0.000  3.54
Li 0.258 0.742 0.250  0.00
Te 0.600 0.400 0.250  -0.11
Te 0.142 0.858 0.572  -0.14
Np 0.500 0.500 0.500  3.52
Li 0.742 0.258 0.750  0.00
Te 0.858 0.142 0.428  -0.14
Te 0.858 0.142 0.072  -0.14
Te 0.400 0.600 0.750  -0.11
Te 0.142 0.858 0.928  -0.14
Li 0.012 0.988 0.750  -0.01
Li 0.988 0.012 0.250  -0.01

---

[27]
A plane-wave DFT calculation with PBE was carried out for crystalline LiNpTe at its relaxed geometry.

energy above the lowest structure with this stoichiometry = 0.216 eV/atom
SG = F-43m
total energy = -5.82 eV per atom

Unit cell a=5.019 b=5.019 c=5.019 alpha=60.00 beta=60.00 gamma=60.00
Last column: magnetic moment on the atom in μB.
Sites, in units of the cell vectors:
Li 0.500 0.500 0.500  0.14
Te 0.000 0.000 0.000  -0.05
Np 0.250 0.250 0.250  4.55